1) Below is a relaxed Cu2AgSb2 crystal, with properties calculated at the PBE-GGA level. Values from VASP.

```
&SYSTEM
  ibrav = 0, nat = 10, ntyp = 3
/
ATOMIC_SPECIES
Sb 121.76 Sb.upf
Cu 63.55 Cu.upf
Ag 107.87 Ag.upf
ATOMIC_POSITIONS crystal
Sb 0.681 0.181 0.000
Sb 0.319 0.819 0.000
Sb 0.181 0.319 0.000
Sb 0.819 0.681 0.000
Cu 0.885 0.385 0.500
Cu 0.385 0.115 0.500
Cu 0.115 0.615 0.500
Cu 0.615 0.885 0.500
Ag 0.500 0.500 0.000
Ag 0.000 0.000 0.000
CELL_PARAMETERS angstrom
7.770 0.000 0.000
0.000 7.770 0.000
0.000 0.000 3.346
```

N(E_F) ... 4.2 states/eV/cell
Spin magnetization ... 0.00 μB/f.u.
SG ... No. 127

2) Below is a relaxed Cu2AgSb2 crystal, with properties calculated at the PBE-GGA level. Values from VASP.

```
&SYSTEM
  ibrav = 0, nat = 5, ntyp = 3
/
ATOMIC_SPECIES
Ag 107.87 Ag.upf
Sb 121.76 Sb.upf
Cu 63.55 Cu.upf
ATOMIC_POSITIONS crystal
Ag 0.000 0.000 0.000
Sb 0.750 0.250 0.500
Sb 0.250 0.750 0.500
Cu 0.344 0.344 0.311
Cu 0.656 0.656 0.689
CELL_PARAMETERS angstrom
-0.920 5.012 1.084
-2.115 0.632 -4.719
-4.944 1.888 -0.407
```

N(E_F) ... 2.3 states/eV/cell
Spin magnetization ... 0.00 μB/f.u.
SG ... No. 139

3) Below is a relaxed Cu2AgSb2 crystal, with properties calculated at the PBE-GGA level. Values from VASP.

```
&SYSTEM
  ibrav = 0, nat = 5, ntyp = 3
/
ATOMIC_SPECIES
Sb 121.76 Sb.upf
Ag 107.87 Ag.upf
Cu 63.55 Cu.upf
ATOMIC_POSITIONS crystal
Sb 0.621 0.621 0.759
Sb 0.379 0.379 0.241
Ag 0.000 0.000 0.000
Cu 0.750 0.250 0.500
Cu 0.250 0.750 0.500
CELL_PARAMETERS angstrom
-2.348 2.118 1.462
-2.556 -1.687 -1.661
-3.171 -5.005 6.307
```

N(E_F) ... 1.8 states/eV/cell
Spin magnetization ... 0.00 μB/f.u.
SG ... No. 139

Least stable of them? 2).

1) Below is a relaxed CuAgSb2 crystal, with properties calculated at the PBE-GGA level. Values from VASP.

```
&SYSTEM
  ibrav = 0, nat = 4, ntyp = 3
/
ATOMIC_SPECIES
Sb 121.76 Sb.upf
Ag 107.87 Ag.upf
Cu 63.55 Cu.upf
ATOMIC_POSITIONS crystal
Sb 0.000 0.522 0.979
Sb 0.000 0.978 0.521
Ag 0.500 0.250 0.250
Cu 0.500 0.750 0.750
CELL_PARAMETERS angstrom
-1.517 -2.423 3.223
1.043 -2.533 -1.413
7.176 -1.852 1.985
```

N(E_F) ... 1.5 states/eV/cell
Spin magnetization ... 0.00 μB/f.u.
SG ... No. 10

2) Below is a relaxed CuAgSb2 crystal, with properties calculated at the PBE-GGA level. Values from VASP.

```
&SYSTEM
  ibrav = 0, nat = 4, ntyp = 3
/
ATOMIC_SPECIES
Sb 121.76 Sb.upf
Ag 107.87 Ag.upf
Cu 63.55 Cu.upf
ATOMIC_POSITIONS crystal
Sb 0.758 0.758 0.691
Sb 0.983 0.983 0.074
Ag 0.511 0.511 0.460
Cu 0.247 0.247 0.275
CELL_PARAMETERS angstrom
-1.969 2.803 -3.009
-2.286 -0.380 -3.926
-6.033 -0.017 2.140
```

N(E_F) ... 1.7 states/eV/cell
Spin magnetization ... 0.00 μB/f.u.
SG ... No. 8

Least stable of them? 1).

1) Below is a relaxed CuAgSb2 crystal, with properties calculated at the PBE-GGA level. Values from VASP.

```
&SYSTEM
  ibrav = 0, nat = 4, ntyp = 3
/
ATOMIC_SPECIES
Ag 107.87 Ag.upf
Sb 121.76 Sb.upf
Cu 63.55 Cu.upf
ATOMIC_POSITIONS crystal
Ag 0.500 0.500 0.250
Sb 0.000 0.000 0.975
Sb 0.000 0.000 0.525
Cu 0.500 0.500 0.750
CELL_PARAMETERS angstrom
-0.859 -2.445 1.971
3.030 -0.936 -0.737
2.852 4.176 6.422
```

N(E_F) ... 1.5 states/eV/cell
Spin magnetization ... 0.00 μB/f.u.
SG ... No. 65

2) Below is a relaxed CuAgSb2 crystal, with properties calculated at the PBE-GGA level. Values from VASP.

```
&SYSTEM
  ibrav = 0, nat = 4, ntyp = 3
/
ATOMIC_SPECIES
Ag 107.87 Ag.upf
Sb 121.76 Sb.upf
Cu 63.55 Cu.upf
ATOMIC_POSITIONS crystal
Ag 0.488 0.488 0.488
Sb 0.016 0.016 0.016
Sb 0.242 0.242 0.242
Cu 0.753 0.753 0.753
CELL_PARAMETERS angstrom
8.998 -0.255 -0.150
8.454 3.092 -0.150
8.454 1.374 2.774
```

N(E_F) ... 1.8 states/eV/cell
Spin magnetization ... 0.00 μB/f.u.
SG ... No. 160

3) Below is a relaxed CuAgSb2 crystal, with properties calculated at the PBE-GGA level. Values from VASP.

```
&SYSTEM
  ibrav = 0, nat = 4, ntyp = 3
/
ATOMIC_SPECIES
Sb 121.76 Sb.upf
Ag 107.87 Ag.upf
Cu 63.55 Cu.upf
ATOMIC_POSITIONS crystal
Sb 0.000 0.997 0.903
Sb 0.500 0.262 0.318
Ag 0.000 0.692 0.461
Cu 0.500 0.549 0.817
CELL_PARAMETERS angstrom
4.009 0.000 0.000
0.000 3.974 0.019
0.000 2.047 5.334
```

N(E_F) ... 1.7 states/eV/cell
Spin magnetization ... 0.00 μB/f.u.
SG ... No. 6

Least stable of them? 2).

1) Below is a relaxed CuAgSb2 crystal, with properties calculated at the PBE-GGA level. Values from VASP.

```
&SYSTEM
  ibrav = 0, nat = 8, ntyp = 3
/
ATOMIC_SPECIES
Sb 121.76 Sb.upf
Cu 63.55 Cu.upf
Ag 107.87 Ag.upf
ATOMIC_POSITIONS crystal
Sb 0.525 0.125 0.250
Sb 0.875 0.775 0.750
Sb 0.375 0.475 0.750
Sb 0.225 0.625 0.250
Cu 0.500 0.500 0.000
Cu 0.250 0.750 0.500
Ag 0.000 0.000 0.000
Ag 0.750 0.250 0.500
CELL_PARAMETERS angstrom
-4.497 7.303 -0.490
-6.210 -4.111 -4.282
-6.504 1.036 -0.179
```

N(E_F) ... 2.0 states/eV/cell
Spin magnetization ... 0.00 μB/f.u.
SG ... No. 122

2) Below is a relaxed CuAgSb2 crystal, with properties calculated at the PBE-GGA level. Values from VASP.

```
&SYSTEM
  ibrav = 0, nat = 4, ntyp = 3
/
ATOMIC_SPECIES
Sb 121.76 Sb.upf
Cu 63.55 Cu.upf
Ag 107.87 Ag.upf
ATOMIC_POSITIONS crystal
Sb 0.250 0.250 0.250
Sb 0.750 0.750 0.750
Cu 0.000 0.000 0.000
Ag 0.500 0.500 0.500
CELL_PARAMETERS angstrom
0.000 3.497 3.497
3.497 0.000 3.497
3.497 3.497 0.000
```

N(E_F) ... 2.6 states/eV/cell
Spin magnetization ... 0.00 μB/f.u.
SG ... No. 225

3) Below is a relaxed CuAgSb2 crystal, with properties calculated at the PBE-GGA level. Values from VASP.

```
&SYSTEM
  ibrav = 0, nat = 4, ntyp = 3
/
ATOMIC_SPECIES
Sb 121.76 Sb.upf
Cu 63.55 Cu.upf
Ag 107.87 Ag.upf
ATOMIC_POSITIONS crystal
Sb 0.250 0.250 0.250
Sb 0.000 0.000 0.000
Cu 0.750 0.750 0.750
Ag 0.500 0.500 0.500
CELL_PARAMETERS angstrom
5.001 0.000 0.000
2.501 4.331 0.000
2.501 1.444 4.084
```

N(E_F) ... 1.2 states/eV/cell
Spin magnetization ... 0.00 μB/f.u.
SG ... No. 216

4) Below is a relaxed CuAgSb2 crystal, with properties calculated at the PBE-GGA level. Values from VASP.

```
&SYSTEM
  ibrav = 0, nat = 4, ntyp = 3
/
ATOMIC_SPECIES
Sb 121.76 Sb.upf
Cu 63.55 Cu.upf
Ag 107.87 Ag.upf
ATOMIC_POSITIONS crystal
Sb 0.055 0.055 0.000
Sb 0.774 0.274 0.500
Cu 0.234 0.734 0.500
Ag 0.436 0.436 0.000
CELL_PARAMETERS angstrom
-2.044 -6.070 -2.406
0.984 -3.320 -5.901
2.276 3.232 5.585
```

N(E_F) ... 1.5 states/eV/cell
Spin magnetization ... 0.00 μB/f.u.
SG ... No. 44

Least stable of them? 3).